Record 1
A plane-wave DFT calculation with GGA-PBEsol was carried out for an optimized crystal structure of Cd2SiI.

Output
- E_form (uncorrected) (meV/atom) = 193.9
- energy (eV per atom) = -2.283

a = 6.470 Å, b = 6.470 Å, c = 12.312 Å
α = 90.00°, β = 90.00°, γ = 90.00°
Space group I-42d (No. 122)
Inequivalent atoms, fractional coordinates:
Cd 0.186 0.250 0.125
Si 0.000 0.000 0.000
I 0.000 0.000 0.500

Record 2
A plane-wave DFT calculation with GGA-PBEsol was carried out for an optimized crystal structure of CdSi2I.

Output
- E_form (uncorrected) (meV/atom) = 756.5
- energy (eV per atom) = -2.858

a = 6.978 Å, b = 6.978 Å, c = 6.978 Å
α = 90.00°, β = 90.00°, γ = 90.00°
Space group Fm-3m (No. 225)
Inequivalent atoms, fractional coordinates:
Cd 0.000 0.000 0.000
Si 0.250 0.250 0.250
I 0.000 0.000 0.500

Record 3
A plane-wave DFT calculation with GGA-PBEsol was carried out for an optimized crystal structure of SrCd3I.

Output
- E_form (uncorrected) (meV/atom) = 412.7
- energy (eV per atom) = -1.027

a = 6.322 Å, b = 6.322 Å, c = 6.322 Å
α = 90.00°, β = 90.00°, γ = 90.00°
Space group Pm-3m (No. 221)
Inequivalent atoms, fractional coordinates:
Sr 0.000 0.000 0.000
Cd 0.000 0.000 0.500
I 0.500 0.500 0.500

Record 4
A plane-wave DFT calculation with GGA-PBEsol was carried out for an optimized crystal structure of SrCdTe2I.

Output
- E_form (uncorrected) (meV/atom) = 32.3
- energy (eV per atom) = -2.339

a = 6.129 Å, b = 6.129 Å, c = 6.067 Å
α = 90.00°, β = 90.00°, γ = 90.00°
Space group P4/mmm (No. 123)
Inequivalent atoms, fractional coordinates:
Sr 0.000 0.000 0.000
Cd 0.500 0.500 0.500
Te 0.000 0.500 0.000
I 0.000 0.000 0.500